Record 1
AlHg: optimized geometry, PBE.

## Properties
The volume is 21.28 A^3/atom. The calculation puts the formation energy from the elements at 3.9 kcal/mol of atoms. The density of states at the Fermi level is 0.338 states/eV per atom. The theoretical density comes out at 8.88 g/cm3. Its space group is Pmmn, No. 59. The calculated total energy is -1.85 eV/atom.

Geometry as POSCAR:
```
AlHg
1.0
3.365 0.000 0.000
0.000 5.540 0.000
0.000 0.000 4.567
Al Hg
2 2
Direct
0.250 0.250 0.149
0.750 0.750 0.851
0.250 0.750 0.347
0.750 0.250 0.653
```

---

Record 2
NaMg2GaNi: optimized geometry, PBE.

## Properties
The volume is 22.08 A^3/atom. The calculation puts the formation energy from the elements at -2.2 kcal/mol of atoms. The density of states at the Fermi level is 0.368 states/eV per atom. The theoretical density comes out at 3.01 g/cm3. Its space group is P4/mmm, No. 123. The calculated total energy is -2.76 eV/atom.

Geometry as POSCAR:
```
NaMg2GaNi
1.0
4.904 0.000 0.000
0.000 4.904 0.000
0.000 0.000 4.591
Na Mg Ga Ni
1 2 1 1
Direct
0.000 0.000 0.000
0.000 0.500 0.500
0.500 0.000 0.500
0.500 0.500 0.000
0.500 0.500 0.500
```

---

Record 3
AsSN2: optimized geometry, PBE.

## Properties
The raw formation energy comes out at 2067.9 meV per atom. The volume is 10.99 A^3/atom. The density of states at the Fermi level is 0.339 states/eV per atom. The theoretical density comes out at 5.10 g/cm3. Its space group is Fm-3m, No. 225. The calculation puts the energy above the lowest structure with this stoichiometry at 1951 meV/atom. The calculated total energy is -4.29 eV/atom.

Geometry as POSCAR:
```
AsSN2
1.0
5.602 0.000 0.000
0.000 5.602 0.000
0.000 0.000 5.602
As S N
4 4 8
Direct
0.000 0.000 0.000
0.000 0.500 0.500
0.500 0.000 0.500
0.500 0.500 0.000
0.000 0.000 0.500
0.000 0.500 0.000
0.500 0.000 0.000
0.500 0.500 0.500
0.250 0.250 0.250
0.250 0.250 0.750
0.250 0.750 0.250
0.250 0.750 0.750
0.750 0.250 0.250
0.750 0.250 0.750
0.750 0.750 0.250
0.750 0.750 0.750
```

---

Record 4
BaOsAu: optimized geometry, PBE.

## Properties
The volume is 25.07 A^3/atom. The calculation puts the formation energy from the elements at 13.9 kcal/mol of atoms. The density of states at the Fermi level is 1.145 states/eV per atom. The theoretical density comes out at 11.58 g/cm3. Its space group is I4mm, No. 107. The calculation puts the energy above the lowest structure with this stoichiometry at 177 meV/atom. The calculated total energy is -4.87 eV/atom.

Geometry as POSCAR:
```
BaOsAu
1.0
3.665 0.000 0.000
0.000 3.665 0.000
0.000 0.000 11.199
Ba Os Au
2 2 2
Direct
0.000 0.000 0.000
0.500 0.500 0.500
0.000 0.000 0.718
0.500 0.500 0.218
0.000 0.000 0.283
0.500 0.500 0.783
```

---

Record 5
GdScP2: optimized geometry, PBE.

## Properties
The volume is 21.06 A^3/atom. The calculation puts the formation energy from the elements at -35.1 kcal/mol of atoms. The density of states at the Fermi level is 0.099 states/eV per atom. The theoretical density comes out at 5.21 g/cm3. Its space group is R-3m, No. 166. The calculated total energy is -9.33 eV/atom.

Geometry as POSCAR:
```
GdScP2
1.0
3.911 0.000 0.000
-1.956 3.387 0.000
0.000 0.000 19.080
Gd Sc P
3 3 6
Direct
0.000 0.000 0.000
0.333 0.667 0.667
0.667 0.333 0.333
0.000 0.000 0.500
0.333 0.667 0.167
0.667 0.333 0.833
0.000 0.000 0.244
0.000 0.000 0.756
0.333 0.667 0.422
0.333 0.667 0.911
0.667 0.333 0.089
0.667 0.333 0.578
```

---

Record 6
Y2ScMn: optimized geometry, PBE.

## Properties
The volume is 25.46 A^3/atom. The calculation puts the formation energy from the elements at 3.3 kcal/mol of atoms. The density of states at the Fermi level is 1.443 states/eV per atom. The theoretical density comes out at 4.53 g/cm3. Its space group is P4/mmm, No. 123. The calculation puts the energy above the lowest structure with this stoichiometry at 34 meV/atom. The calculated total energy is -6.96 eV/atom.

Geometry as POSCAR:
```
Y2ScMn
1.0
3.513 0.000 0.000
0.000 3.513 0.000
0.000 0.000 8.254
Y Sc Mn
2 1 1
Direct
0.000 0.000 0.215
0.000 0.000 0.785
0.500 0.500 0.500
0.500 0.500 0.000
```

---

Record 7
CaTiH2: optimized geometry, PBE.

## Properties
The volume is 13.23 A^3/atom. The density of states at the Fermi level is 0.542 states/eV per atom. The theoretical density comes out at 2.82 g/cm3. Its space group is Fm-3m, No. 225. The calculation puts the energy above the lowest structure with this stoichiometry at 579 meV/atom. The calculated total energy is -3.71 eV/atom.

Geometry as POSCAR:
```
CaTiH2
1.0
5.960 0.000 0.000
0.000 5.960 0.000
0.000 0.000 5.960
Ca Ti H
4 4 8
Direct
0.000 0.000 0.000
0.000 0.500 0.500
0.500 0.000 0.500
0.500 0.500 0.000
0.000 0.000 0.500
0.000 0.500 0.000
0.500 0.000 0.000
0.500 0.500 0.500
0.250 0.250 0.250
0.250 0.250 0.750
0.250 0.750 0.250
0.250 0.750 0.750
0.750 0.250 0.250
0.750 0.250 0.750
0.750 0.750 0.250
0.750 0.750 0.750
```

---

Record 8
Li2Tl3Bi2: optimized geometry, PBE.

## Properties
The volume is 28.51 A^3/atom. The calculation puts the formation energy from the elements at -3.8 kcal/mol of atoms. The density of states at the Fermi level is 0.553 states/eV per atom. The theoretical density comes out at 8.69 g/cm3. Its space group is C2/m, No. 12. The calculated total energy is -2.83 eV/atom.

Geometry as POSCAR:
```
Li2Tl3Bi2
1.0
8.399 0.000 0.000
0.000 4.939 0.000
-2.991 0.000 9.623
Li Tl Bi
4 6 4
Direct
0.207 0.000 0.115
0.293 0.500 0.885
0.707 0.500 0.115
0.793 0.000 0.885
0.000 0.500 0.000
0.134 0.500 0.395
0.366 0.000 0.605
0.500 0.000 0.000
0.634 0.000 0.395
0.866 0.500 0.605
0.091 0.000 0.781
0.409 0.500 0.219
0.591 0.500 0.781
0.909 0.000 0.219
```

---

Record 9
Pr2Sn2O7: optimized geometry, PBE.

## Properties
The raw formation energy comes out at -2514.3 meV per atom. The volume is 14.16 A^3/atom. The density of states at the Fermi level is 0.000 states/eV per atom. The theoretical density comes out at 6.73 g/cm3. Its space group is Fd-3m, No. 227. The calculated total energy is -7.27 eV/atom.

Geometry as POSCAR:
```
Pr2Sn2O7
1.0
0.000 5.380 5.380
5.380 0.000 5.380
5.380 5.380 0.000
Pr Sn O
4 4 14
Direct
0.000 0.000 0.000
0.000 0.000 0.500
0.000 0.500 0.000
0.500 0.000 0.000
0.000 0.500 0.500
0.500 0.000 0.500
0.500 0.500 0.000
0.500 0.500 0.500
0.125 0.125 0.125
0.167 0.167 0.583
0.167 0.583 0.167
0.167 0.583 0.583
0.417 0.417 0.833
0.417 0.833 0.417
0.417 0.833 0.833
0.583 0.167 0.167
0.583 0.167 0.583
0.583 0.583 0.167
0.833 0.417 0.417
0.833 0.417 0.833
0.833 0.833 0.417
0.875 0.875 0.875
```

---

Record 10
SmTaNbN3: optimized geometry, PBE.

## Properties
The raw formation energy comes out at -1261.3 meV per atom. The volume is 12.37 A^3/atom. The density of states at the Fermi level is 0.199 states/eV per atom. The theoretical density comes out at 10.43 g/cm3. Its space group is P2_1/m, No. 11. The calculated total energy is -9.86 eV/atom.

Geometry as POSCAR:
```
SmTaNbN3
1.0
5.651 0.000 0.000
0.000 3.198 0.000
-1.875 0.000 8.217
Sm Ta Nb N
2 2 2 6
Direct
0.143 0.250 0.192
0.857 0.750 0.808
0.267 0.750 0.550
0.733 0.250 0.450
0.381 0.250 0.863
0.619 0.750 0.137
0.060 0.250 0.645
0.243 0.750 0.992
0.466 0.750 0.357
0.534 0.250 0.643
0.757 0.250 0.008
0.940 0.750 0.355
```

---

Record 11
AcLuPuTl: optimized geometry, PBE.

## Properties
The volume is 30.54 A^3/atom. The calculation puts the formation energy from the elements at 4.2 kcal/mol of atoms. The density of states at the Fermi level is 2.927 states/eV per atom. The theoretical density comes out at 11.56 g/cm3. Its space group is F-43m, No. 216. The calculated total energy is -6.15 eV/atom.

Geometry as POSCAR:
```
AcLuPuTl
1.0
7.876 0.000 0.000
0.000 7.876 0.000
0.000 0.000 7.876
Ac Lu Pu Tl
4 4 4 4
Direct
0.000 0.000 0.000
0.000 0.500 0.500
0.500 0.000 0.500
0.500 0.500 0.000
0.250 0.250 0.750
0.250 0.750 0.250
0.750 0.250 0.250
0.750 0.750 0.750
0.250 0.250 0.250
0.250 0.750 0.750
0.750 0.250 0.750
0.750 0.750 0.250
0.000 0.000 0.500
0.000 0.500 0.000
0.500 0.000 0.000
0.500 0.500 0.500
```

---

Record 12
Pm8Ir5Pd: optimized geometry, PBE.

## Properties
The volume is 24.71 A^3/atom. The calculation puts the formation energy from the elements at -15.2 kcal/mol of atoms. The density of states at the Fermi level is 0.416 states/eV per atom. The theoretical density comes out at 10.69 g/cm3. Its space group is I-4, No. 82. The calculated total energy is -6.91 eV/atom.

Geometry as POSCAR:
```
Pm8Ir5Pd
1.0
-4.427 4.427 4.413
4.427 -4.427 4.413
4.427 4.427 -4.413
Pm Ir Pd
8 5 1
Direct
0.123 0.370 0.118
0.123 0.370 0.626
0.252 0.005 0.882
0.504 0.877 0.247
0.630 0.256 0.753
0.630 0.748 0.753
0.744 0.496 0.374
0.995 0.877 0.247
0.005 0.629 0.880
0.371 0.251 0.376
0.500 0.500 0.000
0.749 0.126 0.120
0.874 0.995 0.624
0.250 0.750 0.500
```

---

> theoretical density of number 11 (AcLuPuTl)?

11.56 g/cm3